A geometry-optimized YAlIN2 structure, computed with PBE.

Results
E_form (uncorrected)   298 meV per atom
Volume   86.60 Å³ per cell
Polymorph energy (0 for the lowest one)   0.000 eV per atom

a = 4.0497 Å, b = 4.0497 Å, c = 5.2802 Å
α = 90.00°, β = 90.00°, γ = 90.00°
With the nearest neighbours (Å) after each atom.
Space group P4/mmm (No. 123)
Unique sites:
Y: 0.0000 0.0000 0.0000 (multiplicity 1)  4 I 2.86
Al: 0.5000 0.5000 0.5000 (multiplicity 1)  4 N 2.02
I: 0.5000 0.5000 0.0000 (multiplicity 1)  2 Al 2.64, 4 Y 2.86
N: 0.0000 0.5000 0.5000 (multiplicity 2)  2 Al 2.02